Record 1
CsRb2IrOs | the Alexandria database | PBE-GGA | relaxed; energy relative to the elements = 1.789 eV/atom
1.0
6.511 0.000 0.000
0.000 6.511 0.000
0.000 0.000 5.431
Cs Rb Ir Os
1 2 1 1
direct
0.000 0.000 0.000
0.000 0.500 0.500
0.500 0.000 0.500
0.000 0.000 0.500
0.500 0.500 0.000

---

Record 2
CsScIrOs2 | the Alexandria database | PBE-GGA | relaxed; energy relative to the elements = 2.533 eV/atom
1.0
4.748 0.000 0.000
0.000 4.748 0.000
0.000 0.000 5.275
Cs Sc Ir Os
1 1 1 2
direct
0.000 0.000 0.000
0.000 0.000 0.500
0.500 0.500 0.000
0.000 0.500 0.500
0.500 0.000 0.500

---

Result set for N(E_F): 0.201; 1.357 states/eV per atom, one per record in the order listed.
Result set for DFT total energy: -2.79; -5.17 eV/atom, one per record in the order listed.